Ac4Zn3NiO12 (PBE+U, relaxed); space group = No. 229; raw total energy = -125.5 eV/cell; total moment = 0.00 μB per atom
1.0
6.883 0.000 0.000
-2.294 6.489 0.000
-2.294 -3.244 5.620
O Zn Ni Ac
12 3 1 4
Direct
0.250 0.750 0.500
0.763 0.000 0.763
0.750 0.500 0.250
0.237 0.000 0.237
0.500 0.250 0.750
0.500 0.750 0.250
0.250 0.500 0.750
0.763 0.763 0.000
0.000 0.237 0.237
0.750 0.250 0.500
0.000 0.763 0.763
0.237 0.237 0.000
0.500 0.000 0.500
0.500 0.500 0.000
0.000 0.500 0.500
0.000 0.000 0.000
0.000 0.500 0.000
0.500 0.000 0.000
0.500 0.500 0.500
0.000 0.000 0.500